TcAsPt after structural relaxation, computed with GGA-PBE.

```
TcAsPt
1.0
4.136 0.000 0.000
2.068 3.582 0.000
2.068 1.194 3.377
Tc As Pt
1 1 1
Cartesian
4.136 2.388 1.689 Tc
6.205 3.582 2.533 As
0.000 0.000 0.000 Pt
```

Results
ΔE_f	-0.04	eV/atom
final energy	-7.058	eV per atom
ΔE to the lowest computed polymorph	0.0	meV per atom


Rb3In4Ag2 after structural relaxation, computed with GGA-PBE.

```
Rb3In4Ag2
1.0
-2.205 -1.905 4.097
4.630 -4.414 3.532
3.980 5.237 7.637
Rb In Ag
3 4 2
Cartesian
0.000 0.000 0.000 Rb
4.584 -2.649 7.401 Rb
1.822 1.567 7.865 Rb
3.232 -0.147 4.750 In
3.173 -0.935 10.516 In
4.983 0.716 12.259 In
1.422 -1.798 3.006 In
5.153 0.784 9.296 Ag
1.253 -1.866 5.970 Ag
```

Results
ΔE_f	-0.05	eV/atom
final energy	-2.220	eV per atom


Sn2Au2I after structural relaxation, computed with GGA-PBE.

```
Sn2Au2I
1.0
4.150 0.000 0.000
0.000 4.150 0.000
2.075 2.075 8.128
Au Sn I
2 2 1
Cartesian
2.075 4.150 4.064 Au
4.150 2.075 4.064 Au
4.150 4.150 6.060 Sn
2.075 2.075 2.068 Sn
0.000 0.000 0.000 I
```

Results
uncorrected formation energy	-0.07	eV per atom
final energy	-3.296	eV per atom
ΔE to the lowest computed polymorph	0.0	meV per atom


AlBTeI2 after structural relaxation, computed with GGA-PBE.

```
AlBTeI2
1.0
-4.808 0.028 1.784
1.257 -3.588 3.443
1.246 3.605 3.302
I Te Al B
2 1 1 1
Cartesian
-2.404 0.014 0.892 I
0.629 -1.794 1.721 I
0.623 1.803 1.651 Te
-1.153 0.023 4.265 Al
0.000 0.000 0.000 B
```

Results
uncorrected formation energy	0.71	eV per atom
final energy	-2.619	eV per atom
ΔE to the lowest computed polymorph	0.0	meV per atom


LaAuC2O6 after structural relaxation, computed with GGA-PBE.

```
LaAuC2O6
1.0
-2.858 -0.044 -6.149
6.082 0.350 -2.978
-1.106 -6.603 3.938
La C O Au
2 4 12 2
Cartesian
1.559 -4.765 -1.334 La
0.558 -1.532 -3.854 La
-1.215 -4.654 0.146 C
0.353 -5.051 -4.226 C
1.765 -1.246 -0.963 C
3.333 -1.643 -5.334 C
-0.571 -3.519 -0.064 O
-0.570 -5.687 -0.322 O
1.310 -0.159 -1.562 O
3.749 -4.402 -2.253 O
-1.632 -1.895 -2.936 O
2.703 -4.981 0.767 O
1.641 -2.312 -1.703 O
2.689 -2.778 -5.124 O
0.477 -3.984 -3.485 O
0.807 -6.138 -3.626 O
2.688 -0.610 -4.866 O
-0.586 -1.316 -5.955 O
5.001 -1.336 -2.278 Au
-2.884 -4.960 -2.910 Au
```

Results
uncorrected formation energy	-1.75	eV per atom
final energy	-7.387	eV per atom


In4Hg5Te after structural relaxation, computed with GGA-PBE.

```
In4Hg5Te
1.0
-1.866 0.662 3.735
9.100 -1.363 4.787
7.804 5.373 0.554
Hg In Te
5 4 1
Cartesian
5.398 2.108 4.715 Hg
3.617 -0.350 4.261 Hg
11.866 3.852 7.636 Hg
3.172 0.821 1.439 Hg
9.640 2.565 4.361 Hg
7.711 0.248 3.808 In
4.986 3.276 1.910 In
10.052 1.396 7.166 In
7.327 4.425 5.268 In
-0.933 0.331 1.867 Te
```

Results
uncorrected formation energy	-0.04	eV per atom
final energy	-1.605	eV per atom


SmDy2Tl4 after structural relaxation, computed with GGA-PBE.

```
SmDy2Tl4
1.0
4.887 0.000 0.000
2.443 4.232 0.000
2.443 1.411 10.209
Dy Tl Sm
2 4 1
Cartesian
2.443 1.411 6.237 Dy
7.330 4.232 3.972 Dy
2.443 1.411 2.784 Tl
7.330 4.232 7.425 Tl
4.887 2.821 1.551 Tl
4.887 2.821 8.658 Tl
0.000 0.000 0.000 Sm
```

Results
ΔE_f	-0.11	eV/atom
final energy	-3.450	eV per atom
ΔE to the lowest computed polymorph	116.9	meV per atom


PrCuHg2 after structural relaxation, computed with GGA-PBE.

```
PrCuHg2
1.0
-2.480 1.090 -2.168
1.844 -1.168 -2.698
-3.398 -6.635 0.550
Pr Hg Cu
1 2 1
Cartesian
-2.017 -3.356 -2.157 Pr
-0.690 -1.348 0.112 Hg
-2.708 -5.287 0.439 Hg
-0.318 -0.039 -2.433 Cu
```

Results
ΔE_f	-0.14	eV/atom
final energy	-2.509	eV per atom


KSe2Br2 after structural relaxation, computed with GGA-PBE.

```
KSe2Br2
1.0
3.895 0.000 0.000
0.000 3.895 0.000
1.948 1.948 9.513
K Br Se
1 2 2
Cartesian
0.000 0.000 0.000 K
1.948 1.948 1.709 Br
3.895 3.895 7.804 Br
1.948 3.895 4.756 Se
3.895 1.948 4.756 Se
```

Results
uncorrected formation energy	-0.39	eV per atom
final energy	-2.671	eV per atom
ΔE to the lowest computed polymorph	226.9	meV per atom


SrPdO3 after structural relaxation, computed with GGA-PBE.

```
SrPdO3
1.0
3.335 -1.926 0.000
0.000 3.851 0.000
0.000 0.000 12.065
O Sr Pd
6 2 2
Cartesian
0.000 0.000 3.016 O
2.224 0.000 1.108 O
2.224 0.000 4.925 O
0.000 0.000 9.049 O
1.112 1.926 7.140 O
1.112 1.926 10.958 O
0.000 0.000 0.000 Sr
0.000 0.000 6.033 Sr
2.224 0.000 3.016 Pd
1.112 1.926 9.049 Pd
```

Results
uncorrected formation energy	-1.18	eV per atom
final energy	-5.528	eV per atom


Sr4SnPb after structural relaxation, computed with GGA-PBE.

```
Sr4SnPb
1.0
5.613 0.000 0.000
0.000 9.498 -1.997
-2.807 -5.999 10.689
Sn Sr Pb
2 8 2
Cartesian
1.403 1.124 9.191 Sn
1.403 2.375 -0.499 Sn
1.403 -0.553 1.309 Sr
4.209 -1.664 3.850 Sr
-1.403 5.162 4.842 Sr
4.210 4.197 0.311 Sr
1.403 4.051 7.383 Sr
1.404 0.413 5.840 Sr
-1.403 -0.698 8.381 Sr
1.403 3.085 2.852 Sr
1.403 -3.000 5.344 Pb
-1.403 1.749 4.346 Pb
```

Results
ΔE_f	-0.48	eV/atom
final energy	-2.890	eV per atom


K2MnMo after structural relaxation, computed with GGA-PBE.

```
K2MnMo
1.0
6.838 0.184 0.104
-4.421 5.220 0.104
0.483 1.079 2.638
K Mo Mn
2 1 1
Cartesian
1.209 2.702 0.104 K
0.000 0.000 0.000 K
-1.969 3.150 1.371 Mo
3.661 0.631 1.371 Mn
```

Results
ΔE_f	1.41	eV/atom
final energy	-4.141	eV per atom
ΔE to the lowest computed polymorph	599.6	meV per atom


Look up the final energy of the fourth one. -2.619 eV per atom


Which of these has the lowest final energy? LaAuC2O6


What is the formula in the ninth record? KSe2Br2


final energy of number 10 (SrPdO3)? -5.528 eV per atom